The following is a DFT calculation (PBEsol) of ZrAg after structural relaxation.

- ΔH_f (0 K): -0.0354 eV/atom

a = 5.8765 Å, b = 5.8765 Å, c = 4.7055 Å
α = 90.00°, β = 90.00°, γ = 151.92°
Last column: nearest neighbours and their distance in Å.
Fractional coordinates of all 4 atoms:
1 Zr 0.1632 0.8368 0.7500  2 Zr 2.85, 7 Ag 2.95-3.04
2 Zr 0.8368 0.1632 0.2500  2 Zr 2.85, 7 Ag 2.95-3.04
3 Ag 0.4302 0.5698 0.7500  4 Ag 2.84-2.85, 7 Zr 2.95-3.04
4 Ag 0.5698 0.4302 0.2500  4 Ag 2.84-2.85, 7 Zr 2.95-3.04